(1)
A plane-wave DFT calculation with PBE was carried out for a geometry-optimized RbMn2NiPt structure.

a = 4.657 Å, b = 4.657 Å, c = 5.318 Å
α = 90.00°, β = 90.00°, γ = 90.00°
Atoms (fractional coordinates):
Rb1 0.000 0.000 0.000
Mn1 0.000 0.500 0.500
Mn2 0.500 0.000 0.500
Ni1 0.000 0.000 0.500
Pt1 0.500 0.500 0.000

Output
Spin magnetization, Bohr magnetons per cell: 9.2
DOS(E_F), states/eV per cell: 3.0
Calculated volume, Å³/atom: 23.1
E_tot, eV for the cell shown: -25.65


(2)
A plane-wave DFT calculation with PBE was carried out for a geometry-optimized Pr5Nd4Cd structure.

a = 3.725 Å, b = 3.725 Å, c = 24.904 Å
α = 90.00°, β = 90.00°, γ = 90.00°
Atoms (fractional coordinates):
Pr1 0.000 0.000 0.000
Pr2 0.000 0.000 0.208
Pr3 0.000 0.000 0.416
Pr4 0.000 0.000 0.584
Pr5 0.000 0.000 0.792
Nd1 0.500 0.500 0.104
Nd2 0.500 0.500 0.312
Nd3 0.500 0.500 0.688
Nd4 0.500 0.500 0.896
Cd1 0.500 0.500 0.500

Output
Spin magnetization, Bohr magnetons per cell: 0.0
DOS(E_F), states/eV per cell: 12.7
Calculated volume, Å³/atom: 34.6
E_tot, eV for the cell shown: -44.43


It is found that the energy relative to the elements values, taken in the order of the records, are 1.10, -0.05 eV/atom.